Entry 1:
DFT (PBE-GGA) results for an optimized crystal structure of Rb2AgBi.

Cell lengths 6.6982, 11.1578, 8.5497 Å; angles 90.00, 90.00, 90.00 degrees
Fractional coordinates of all 16 atoms:
Rb (0.0000, 0.1715, 0.0000)
Rb (0.0000, 0.3285, 0.5000)
Rb (0.0000, 0.6715, 0.5000)
Rb (0.0000, 0.8285, 0.0000)
Rb (0.5000, 0.1710, 0.3117)
Rb (0.5000, 0.3290, 0.8117)
Rb (0.5000, 0.6710, 0.8117)
Rb (0.5000, 0.8290, 0.3117)
Ag (0.2498, 0.0000, 0.6553)
Ag (0.2498, 0.5000, 0.1553)
Ag (0.7502, 0.0000, 0.6553)
Ag (0.7502, 0.5000, 0.1553)
Bi (0.0000, 0.0000, 0.3912)
Bi (0.0000, 0.5000, 0.8912)
Bi (0.5000, 0.0000, 0.9191)
Bi (0.5000, 0.5000, 0.4191)

Computed properties:
V: 639 Å³ per cell
uncorrected energy: -2.5223 eV per atom

---

Entry 2:
DFT (PBE-GGA) results for an optimized crystal structure of RbAgBi.

Cell lengths 7.9065, 7.9065, 7.9065 Å; angles 90.00, 90.00, 90.00 degrees
Fractional coordinates of all 12 atoms:
Rb (0.0000, 0.0000, 0.0000)
Rb (0.0000, 0.5000, 0.5000)
Rb (0.5000, 0.0000, 0.5000)
Rb (0.5000, 0.5000, 0.0000)
Ag (0.2500, 0.2500, 0.7500)
Ag (0.2500, 0.7500, 0.2500)
Ag (0.7500, 0.2500, 0.2500)
Ag (0.7500, 0.7500, 0.7500)
Bi (0.2500, 0.2500, 0.2500)
Bi (0.2500, 0.7500, 0.7500)
Bi (0.7500, 0.2500, 0.7500)
Bi (0.7500, 0.7500, 0.2500)

Computed properties:
energy relative to the lowest polymorph listed for this composition: 557.5 meV/atom
V: 494 Å³ per cell
uncorrected energy: -1.9449 eV per atom

---

Entry 3:
DFT (PBE-GGA) results for an optimized crystal structure of Re3AgBi5.

Cell lengths 5.6219, 5.6219, 8.5321 Å; angles 90.00, 90.00, 120.00 degrees
Fractional coordinates of all 9 atoms:
Re (0.0000, 0.5000, 0.0000)
Re (0.5000, 0.0000, 0.0000)
Re (0.5000, 0.5000, 0.0000)
Ag (0.0000, 0.0000, 0.5000)
Bi (0.0000, 0.0000, 0.0000)
Bi (0.3333, 0.6667, 0.2881)
Bi (0.3333, 0.6667, 0.7119)
Bi (0.6667, 0.3333, 0.2881)
Bi (0.6667, 0.3333, 0.7119)

Computed properties:
V: 234 Å³ per cell
uncorrected energy: -6.0484 eV per atom

---

Entry 4:
DFT (PBE-GGA) results for an optimized crystal structure of Re2AgBi.

Cell lengths 6.6220, 6.6220, 6.6220 Å; angles 90.00, 90.00, 90.00 degrees
Fractional coordinates of all 16 atoms:
Re (0.0000, 0.0000, 0.0000)
Re (0.0000, 0.5000, 0.5000)
Re (0.2500, 0.2500, 0.2500)
Re (0.2500, 0.7500, 0.7500)
Re (0.5000, 0.0000, 0.5000)
Re (0.5000, 0.5000, 0.0000)
Re (0.7500, 0.2500, 0.7500)
Re (0.7500, 0.7500, 0.2500)
Ag (0.2500, 0.2500, 0.7500)
Ag (0.2500, 0.7500, 0.2500)
Ag (0.7500, 0.2500, 0.2500)
Ag (0.7500, 0.7500, 0.7500)
Bi (0.0000, 0.0000, 0.5000)
Bi (0.0000, 0.5000, 0.0000)
Bi (0.5000, 0.0000, 0.0000)
Bi (0.5000, 0.5000, 0.5000)

Computed properties:
V: 290 Å³ per cell
uncorrected energy: -6.8815 eV per atom

---

Entry 5:
DFT (PBE-GGA) results for an optimized crystal structure of ReAg2Bi.

Cell lengths 6.7137, 6.7137, 6.7137 Å; angles 90.00, 90.00, 90.00 degrees
Fractional coordinates of all 16 atoms:
Re (0.0000, 0.0000, 0.0000)
Re (0.0000, 0.5000, 0.5000)
Re (0.5000, 0.0000, 0.5000)
Re (0.5000, 0.5000, 0.0000)
Ag (0.0000, 0.0000, 0.5000)
Ag (0.0000, 0.5000, 0.0000)
Ag (0.2500, 0.2500, 0.2500)
Ag (0.2500, 0.7500, 0.7500)
Ag (0.5000, 0.0000, 0.0000)
Ag (0.5000, 0.5000, 0.5000)
Ag (0.7500, 0.2500, 0.7500)
Ag (0.7500, 0.7500, 0.2500)
Bi (0.2500, 0.2500, 0.7500)
Bi (0.2500, 0.7500, 0.2500)
Bi (0.7500, 0.2500, 0.2500)
Bi (0.7500, 0.7500, 0.7500)

Computed properties:
V: 303 Å³ per cell
uncorrected energy: -4.7034 eV per atom

---

Entry 6:
DFT (PBE-GGA) results for an optimized crystal structure of Ag3Bi7S12.

Cell lengths 7.0200, 7.0200, 20.4374 Å; angles 101.46, 101.46, 33.68 degrees
Fractional coordinates of all 22 atoms:
Ag (0.0000, 0.0000, 0.0000)
Ag (0.2962, 0.2962, 0.5860)
Ag (0.7038, 0.7038, 0.4140)
Bi (0.0000, 0.0000, 0.5000)
Bi (0.0826, 0.0826, 0.2328)
Bi (0.2372, 0.2372, 0.9113)
Bi (0.3863, 0.3863, 0.3288)
Bi (0.6137, 0.6137, 0.6712)
Bi (0.7628, 0.7628, 0.0887)
Bi (0.9174, 0.9174, 0.7672)
S (0.0299, 0.0299, 0.3682)
S (0.1269, 0.1269, 0.1112)
S (0.2686, 0.2686, 0.7079)
S (0.3488, 0.3488, 0.4676)
S (0.3622, 0.3622, 0.0284)
S (0.4377, 0.4377, 0.2045)
S (0.5623, 0.5623, 0.7955)
S (0.6378, 0.6378, 0.9716)
S (0.6512, 0.6512, 0.5324)
S (0.7314, 0.7314, 0.2921)
S (0.8731, 0.8731, 0.8888)
S (0.9701, 0.9701, 0.6318)

Computed properties:
V: 546 Å³ per cell
uncorrected energy: -4.2168 eV per atom

---

What is the uncorrected energy in the third record? -6.0484 eV per atom

---

Which of these has the highest uncorrected energy? RbAgBi